## MnFeCo2 (PBE-GGA)

Data for a relaxed MnFeCo2 crystal.

Geometry as CIF:
```
data_MnFeCo2
_cell_length_a 3.579
_cell_length_b 3.579
_cell_length_c 3.462
_cell_angle_alpha 90.00
_cell_angle_beta 90.00
_cell_angle_gamma 90.00
_symmetry_space_group_name_H-M 'P 4/m m m'
_symmetry_Int_Tables_number 123
_symmetry_space_group_name_Hall '-P 4 2'
loop_
_atom_site_label
_atom_site_fract_x
_atom_site_fract_y
_atom_site_fract_z
Mn1 0.000 0.000 0.000
Fe1 0.500 0.500 0.000
Co1 0.000 0.500 0.500
```

Calculated values
Theoretical density, g/cm³: 8.560
Energy relative to the lowest polymorph listed for this composition, meV per atom: 29
DFT formation energy, eV per formula unit: -0.06